Record 1
Computed, not measured: a geometry-optimized Ir2Os5Ru4 structure at the PBE level of DFT.

Calculated values
Density of states at the Fermi level: 1.18 states/eV/atom
DFT total energy: -9.724 eV/atom
Crystal system: monoclinic
Magnetization: 0.00 μB/f.u.
Energy relative to the elements: 364 meV/atom

abc: 18.5898 2.7315 6.4985
angles: 90.00 96.57 90.00
With the nearest neighbours (Å) after each atom.
Space group C2/m (No. 12)
Asymmetric unit:
Ir 0.0905 0.0000 0.2617 x4  4 Os 2.52-2.77, 4 Ru 2.56-2.79, 2 Ir 2.73
Os 0.0000 0.5000 0.5000 x2  2 Os 2.73, 4 Ru 2.77, 4 Ir 2.77
Os 0.1464 0.0000 0.6341 x4  1 Ir 2.52, 3 Ru 2.53-2.66, 5 Os 2.55-2.77
Os 0.2373 0.0000 0.3250 x4  7 Os 2.55-2.77, 1 Ir 2.71, 3 Ru 2.78-2.82
Ru 0.0451 0.0000 0.8618 x4  3 Os 2.53-2.77, 2 Ir 2.56-2.64, 5 Ru 2.59-2.73
Ru 0.1683 0.5000 0.9860 x4  5 Os 2.66-2.82, 4 Ru 2.71-2.73, 2 Ir 2.79

=====

Record 2
Computed, not measured: a geometry-optimized La5Nd3In structure at the PBE level of DFT.

Calculated values
Density of states at the Fermi level: 1.77 states/eV/atom
DFT total energy: -4.446 eV/atom
Crystal system: monoclinic
Magnetization: 0.20 μB/f.u.
Energy relative to the elements: 185 meV/atom

abc: 10.3121 8.3370 15.9804
angles: 90.00 101.58 90.00
With the nearest neighbours (Å) after each atom.
Space group C2/m (No. 12)
Asymmetric unit:
La 0.0000 0.1728 0.0000 x4  1 Nd 2.73, 1 La 2.88
La 0.0733 0.0000 0.2249 x4  1 Nd 3.32, 1 La 3.43
La 0.1470 0.2331 0.6592 x8  2 In 3.26-3.41, 1 Nd 3.49
La 0.2388 0.5000 0.1450 x4  1 Nd 3.02
Nd 0.0000 0.5000 0.0000 x2  4 La 2.73-3.02
Nd 0.0000 0.5000 0.5000 x2  2 In 3.25, 4 La 3.49, 2 Nd 3.53
Nd 0.1509 0.0000 0.4658 x4  2 Nd 3.50-3.53, 7 La 3.66-3.87, 1 In 3.90
Nd 0.1509 0.5000 0.8525 x4  1 Nd 3.07, 1 In 3.32, 1 La 3.32
In 0.0941 0.5000 0.3178 x4  2 Nd 3.25-3.32, 5 La 3.26-3.41

=====

Record 3
Computed, not measured: a geometry-optimized KPdSe structure at the PBE level of DFT.

Calculated values
Density of states at the Fermi level: 0.97 states/eV/atom
DFT total energy: -3.927 eV/atom
Crystal system: hexagonal
Magnetization: 0.00 μB/f.u.
Energy relative to the elements, uncorrected: -0.669 eV per atom

abc: 4.2857 4.2857 5.0187
angles: 90.00 90.00 120.00
With the nearest neighbours (Å) after each atom.
Space group P-6m2 (No. 187)
Asymmetric unit:
K 0.0000 0.0000 0.0000 x1  6 Se 3.52, 6 Pd 3.52
Pd 0.6667 0.3333 0.5000 x1  3 Se 2.47
Se 0.3333 0.6667 0.5000 x1  3 Pd 2.47

=====

> Which value of DFT total energy does entry 1 give?

-9.724 eV/atom

=====

> Look up the density of states at the Fermi level of the third one.

0.97 states/eV/atom